Below is SiB2Os at its PBEsol-relaxed geometry, with properties calculated at the meta-GGA SCAN level.

Structure (POSCAR):
```
SiB2Os
1.0
-2.405 2.405 4.484
2.405 -2.405 4.484
2.405 2.405 -4.484
Si B Os
2 4 2
Direct
0.000 0.000 0.000 Si
0.750 0.250 0.500 Si
0.131 0.625 0.006 B
0.375 0.381 0.506 B
0.619 0.125 0.994 B
0.875 0.869 0.494 B
0.250 0.750 0.500 Os
0.500 0.500 0.000 Os
```

Computed properties:
Spin magnetization ... 0.0 Bohr magnetons per cell
Theoretical density ... 7.7 g cm⁻³
ΔE_f (raw) ... 0.59 eV/atom

=====

Below is MgSbS2 at its PBEsol-relaxed geometry, with properties calculated at the meta-GGA SCAN level.

Structure (POSCAR):
```
MgSbS2
1.0
0.000 3.343 3.343
3.343 0.000 3.343
3.343 3.343 0.000
Mg Sb S
1 1 2
Direct
0.000 0.000 0.000 Mg
0.500 0.500 0.500 Sb
0.250 0.250 0.250 S
0.750 0.750 0.750 S
```

Computed properties:
Spin magnetization ... 0.0 Bohr magnetons per cell
Theoretical density ... 4.7 g cm⁻³
ΔE_f (raw) ... -0.26 eV/atom
ΔE to the lowest computed polymorph ... 369 meV/atom

=====

Below is BRuAu3 at its PBEsol-relaxed geometry, with properties calculated at the meta-GGA SCAN level.

Structure (POSCAR):
```
BRuAu3
1.0
4.918 0.000 0.000
0.000 4.918 0.000
0.000 0.000 4.918
B Ru Au
1 1 3
Direct
0.000 0.000 0.000 B
0.500 0.500 0.500 Ru
0.000 0.500 0.500 Au
0.500 0.000 0.500 Au
0.500 0.500 0.000 Au
```

Computed properties:
Spin magnetization ... 2.5 Bohr magnetons per cell
Theoretical density ... 9.8 g cm⁻³
Energy relative to the elements ... 1.936 eV per atom

=====

Below is FeMo2Ir at its PBEsol-relaxed geometry, with properties calculated at the meta-GGA SCAN level.

Structure (POSCAR):
```
FeMo2Ir
1.0
4.423 -1.348 0.000
4.423 1.348 0.000
-0.771 0.000 4.652
Fe Mo Ir
1 2 1
Direct
0.000 0.000 0.000 Fe
0.509 0.509 0.507 Mo
0.745 0.745 0.210 Mo
0.259 0.259 0.734 Ir
```

Computed properties:
Spin magnetization ... 2.0 Bohr magnetons per cell
Theoretical density ... 13.2 g cm⁻³
Energy relative to the elements ... -0.008 eV per atom
ΔE to the lowest computed polymorph ... 48 meV/atom